Record 1
Compound: BaSrLi2Zn
Source: Alexandria via LeMat-Bulk
Functional: GGA-PBE
Structure: optimized geometry

Distance to the lowest polymorph of the same formula, eV per formula unit: 0.00
Mass density, Mg/m³: 2.93
DOS(E_F), states/eV per cell: 7.407
ΔH_f (0 K), eV per formula unit: -0.102

Unit cell a=4.237 b=5.485 c=14.837 alpha=90.00 beta=90.00 gamma=90.00
Space group Imm2 (No. 44)
Symmetry-distinct sites (fractional):
Ba 0.000 0.000 0.000
Sr 0.000 0.500 0.773
Li 0.000 0.000 0.621
Li 0.000 0.500 0.291
Zn 0.000 0.000 0.437

=====

Record 2
Compound: BaSr2LiZn
Source: Alexandria via LeMat-Bulk
Functional: GGA-PBE
Structure: optimized geometry

Distance to the lowest polymorph of the same formula, eV per formula unit: 0.16
Mass density, Mg/m³: 2.59
DOS(E_F), states/eV per cell: 4.590
ΔH_f (0 K), eV per formula unit: 0.341

Unit cell a=6.231 b=6.231 c=6.366 alpha=90.00 beta=90.00 gamma=90.00
Space group P4/mmm (No. 123)
Symmetry-distinct sites (fractional):
Ba 0.000 0.000 0.000
Sr 0.000 0.500 0.500
Li 0.500 0.500 0.000
Zn 0.000 0.000 0.500

=====

Record 3
Compound: BaSrLiZn
Source: Alexandria via LeMat-Bulk
Functional: GGA-PBE
Structure: optimized geometry

Mass density, Mg/m³: 3.13
DOS(E_F), states/eV per cell: 8.940
ΔH_f (0 K), eV per formula unit: -0.244

Unit cell a=8.193 b=4.737 c=8.572 alpha=90.00 beta=108.66 gamma=90.00
Space group Cm (No. 8)
Symmetry-distinct sites (fractional):
Ba 0.000 0.000 0.000
Sr 0.180 0.000 0.537
Li 0.428 0.000 0.283
Zn 0.261 0.500 0.281

=====

Record 4
Compound: Ba2SrLiZn
Source: Alexandria via LeMat-Bulk
Functional: GGA-PBE
Structure: optimized geometry

Distance to the lowest polymorph of the same formula, eV per formula unit: 0.00
Mass density, Mg/m³: 3.12
DOS(E_F), states/eV per cell: 4.809
ΔH_f (0 K), eV per formula unit: 0.211

Unit cell a=6.651 b=6.651 c=5.228 alpha=90.00 beta=90.00 gamma=90.00
Space group P4/mmm (No. 123)
Symmetry-distinct sites (fractional):
Ba 0.000 0.500 0.000
Sr 0.000 0.000 0.500
Li 0.500 0.500 0.500
Zn 0.500 0.500 0.000

=====

Record 5
Compound: BaSrLiZn
Source: Alexandria via LeMat-Bulk
Functional: GGA-PBE
Structure: optimized geometry

Mass density, Mg/m³: 3.52
DOS(E_F), states/eV per cell: 14.673
ΔH_f (0 K), eV per formula unit: -0.242

Unit cell a=8.245 b=8.245 c=8.245 alpha=90.00 beta=90.00 gamma=90.00
Space group F-43m (No. 216)
Symmetry-distinct sites (fractional):
Ba 0.000 0.000 0.000
Sr 0.000 0.000 0.500
Li 0.250 0.250 0.750
Zn 0.250 0.250 0.250

=====

Record 6
Compound: BaSrLi2Zn
Source: Alexandria via LeMat-Bulk
Functional: GGA-PBE
Structure: optimized geometry

Distance to the lowest polymorph of the same formula, eV per formula unit: 0.68
Mass density, Mg/m³: 2.73
DOS(E_F), states/eV per cell: 3.469
ΔH_f (0 K), eV per formula unit: 0.581

Unit cell a=5.534 b=5.534 c=6.039 alpha=90.00 beta=90.00 gamma=90.00
Space group P4/mmm (No. 123)
Symmetry-distinct sites (fractional):
Ba 0.000 0.000 0.000
Sr 0.500 0.500 0.000
Li 0.000 0.500 0.500
Zn 0.000 0.000 0.500

=====

Repeat the third record exactly.
Compound: BaSrLiZn
Source: Alexandria via LeMat-Bulk
Functional: GGA-PBE
Structure: optimized geometry

Mass density, Mg/m³: 3.13
DOS(E_F), states/eV per cell: 8.940
ΔH_f (0 K), eV per formula unit: -0.244

Unit cell a=8.193 b=4.737 c=8.572 alpha=90.00 beta=108.66 gamma=90.00
Space group Cm (No. 8)
Symmetry-distinct sites (fractional):
Ba 0.000 0.000 0.000
Sr 0.180 0.000 0.537
Li 0.428 0.000 0.283
Zn 0.261 0.500 0.281

=====

Which formula does entry 3 have? BaSrLiZn

=====

Among the records above, which one has the lowest mass density? BaSr2LiZn

=====

The highest ΔH_f (0 K) belongs to which entry? number 6